Entry 1:
MnTl2Pt | Alexandria via LeMat-Bulk | PBE | relaxed; energy relative to the lowest polymorph listed for this composition = 304.7 meV per atom; SG = R-3m
1.0
1.750 1.010 8.116
-1.750 1.010 8.116
0.000 -2.020 8.116
Mn Tl Pt
1 2 1
direct
0.000 0.000 0.000
0.247 0.247 0.247
0.753 0.753 0.753
0.500 0.500 0.500

=====

Entry 2:
MnTl2Pt2 | Alexandria via LeMat-Bulk | PBE | relaxed; SG = P4/mbm
1.0
6.895 0.000 0.000
0.000 6.895 0.000
0.000 0.000 4.247
Mn Tl Pt
2 4 4
direct
0.000 0.000 0.000
0.500 0.500 0.000
0.170 0.330 0.500
0.330 0.830 0.500
0.670 0.170 0.500
0.830 0.670 0.500
0.141 0.641 0.000
0.359 0.141 0.000
0.641 0.859 0.000
0.859 0.359 0.000

=====

Entry 3:
MnTlPt2 | Alexandria via LeMat-Bulk | PBE | relaxed; SG = F-43m
1.0
0.000 3.249 3.249
3.249 0.000 3.249
3.249 3.249 0.000
Mn Tl Pt
1 1 2
direct
0.000 0.000 0.000
0.250 0.250 0.250
0.500 0.500 0.500
0.750 0.750 0.750

=====

Entry 4:
MnTl2Pt | Alexandria via LeMat-Bulk | PBE | relaxed; energy relative to the lowest polymorph listed for this composition = 240.9 meV per atom; SG = P4/mmm
1.0
3.496 0.000 0.000
0.000 3.496 0.000
0.000 0.000 6.562
Mn Tl Pt
1 2 1
direct
0.000 0.000 0.000
0.500 0.500 0.255
0.500 0.500 0.745
0.000 0.000 0.500

=====

Entry 5:
MnTl2Pt | Alexandria via LeMat-Bulk | PBE | relaxed; energy relative to the lowest polymorph listed for this composition = 214.3 meV per atom; SG = C2/m
1.0
4.509 -1.946 0.000
4.509 1.946 0.000
-1.483 0.000 4.744
Mn Tl Pt
1 2 1
direct
0.000 0.000 0.000
0.244 0.244 0.743
0.756 0.756 0.257
0.500 0.500 0.500

=====

Entry 6:
Mn2TlPt | Alexandria via LeMat-Bulk | PBE | relaxed; energy relative to the lowest polymorph listed for this composition = 0.0 meV per atom; SG = P2/m
1.0
3.243 0.000 0.000
0.000 3.186 0.000
-0.016 0.000 6.939
Mn Tl Pt
2 1 1
direct
0.001 0.000 0.213
0.999 0.000 0.787
0.500 0.500 0.500
0.500 0.500 0.000

=====

Entry 7:
Mn2TlPt | Alexandria via LeMat-Bulk | PBE | relaxed; energy relative to the lowest polymorph listed for this composition = 109.8 meV per atom; SG = C2/m
1.0
4.317 -1.510 0.000
4.317 1.510 0.000
-0.994 0.000 5.477
Mn Tl Pt
2 1 1
direct
0.243 0.243 0.218
0.757 0.757 0.782
0.000 0.000 0.500
0.500 0.500 0.000

=====

Entry 8:
MnTlPt | Alexandria via LeMat-Bulk | PBE | relaxed; energy relative to the lowest polymorph listed for this composition = 123.4 meV per atom; SG = P3m1
1.0
4.591 0.000 0.000
-2.296 3.976 0.000
0.000 0.000 2.994
Mn Tl Pt
1 1 1
direct
0.000 0.000 0.000
0.333 0.667 0.593
0.667 0.333 0.327

=====

Entry 9:
MnTlPt | Alexandria via LeMat-Bulk | PBE | relaxed; energy relative to the lowest polymorph listed for this composition = 0.0 meV per atom; SG = Imm2
1.0
-1.737 1.742 4.583
1.737 -1.742 4.583
1.737 1.742 -4.583
Mn Tl Pt
1 1 1
direct
0.000 0.000 0.000
0.312 0.312 0.000
0.629 0.629 0.000

=====

Entry 10:
Mn2TlPt | Alexandria via LeMat-Bulk | PBE | relaxed; energy relative to the lowest polymorph listed for this composition = 47.7 meV per atom; SG = I-4m2
1.0
-1.992 1.992 4.241
1.992 -1.992 4.241
1.992 1.992 -4.241
Mn Tl Pt
2 1 1
direct
0.000 0.000 0.000
0.750 0.250 0.500
0.500 0.500 0.000
0.250 0.750 0.500

=====

Entry 11:
MnTl2Pt | Alexandria via LeMat-Bulk | PBE | relaxed; energy relative to the lowest polymorph listed for this composition = 305.3 meV per atom; SG = I-42d
1.0
-2.126 2.126 9.874
2.126 -2.126 9.874
2.126 2.126 -9.874
Mn Tl Pt
2 4 2
direct
0.000 0.000 0.000
0.750 0.250 0.500
0.126 0.625 0.001
0.375 0.376 0.501
0.624 0.125 0.999
0.875 0.874 0.499
0.250 0.750 0.500
0.500 0.500 0.000

=====

Entry 12:
MnTlPt | Alexandria via LeMat-Bulk | PBE | relaxed; energy relative to the lowest polymorph listed for this composition = 153.0 meV per atom; SG = P3m1
1.0
3.170 0.000 0.000
-1.585 2.745 0.000
0.000 0.000 6.533
Mn Tl Pt
1 1 1
direct
0.000 0.000 0.000
0.333 0.667 0.640
0.667 0.333 0.281

=====

In the order shown, the computed total DFT energy (no corrections) values come out to -18.5, -51.4, -23.5, -18.7, -18.9, -26.4, -25.9, -17.1, -17.4, -26.2, -37.0, -17.0 eV per cell.
In the order shown, the computed ΔE_f values come out to 1.45, 0.27, 0.08, 1.19, 1.09, 0.37, 0.81, 0.50, 0.13, 0.56, 1.45, 0.59 eV per formula unit.